Material: Cu3Cl
Method: DFT, GGA-PBE
State: relaxed

a = 4.3331 Å, b = 4.3331 Å, c = 4.3331 Å
α = 60.00°, β = 60.00°, γ = 60.00°
Last column: nearest neighbours and their distance in Å.
Sites, in units of the cell vectors:
1 Cu 0.0000 0.0000 0.0000  8 Cu 2.65
2 Cu 0.2500 0.2500 0.2500  4 Cl 2.65, 4 Cu 2.65
3 Cu 0.7500 0.7500 0.7500  4 Cl 2.65, 4 Cu 2.65
4 Cl 0.5000 0.5000 0.5000  8 Cu 2.65

Properties
Space-group type: No. 225
ΔE_f (raw), eV/f.u.: 1.80
Fermi-level density of states, states/eV/cell: 0.2
Crystal system: cubic

---

Material: Cu2Cl
Method: DFT, GGA-PBE
State: relaxed

a = 5.6269 Å, b = 5.6269 Å, c = 7.9448 Å
α = 90.00°, β = 90.00°, γ = 120.00°
Last column: nearest neighbours and their distance in Å.
Sites, in units of the cell vectors:
1 Cu 0.0000 0.0000 0.0000  6 Cu 2.46
2 Cu 0.0000 0.0000 0.5000  6 Cu 2.46
3 Cu 0.1486 0.2973 0.2500  2 Cl 2.39, 4 Cu 2.46-2.51
4 Cu 0.1486 0.8514 0.2500  2 Cl 2.39, 4 Cu 2.46-2.51
5 Cu 0.2973 0.1486 0.7500  2 Cl 2.39, 4 Cu 2.46-2.51
6 Cu 0.7027 0.8514 0.2500  2 Cl 2.39, 4 Cu 2.46-2.51
7 Cu 0.8514 0.1486 0.7500  2 Cl 2.39, 4 Cu 2.46-2.51
8 Cu 0.8514 0.7027 0.7500  2 Cl 2.39, 4 Cu 2.46-2.51
9 Cl 0.3333 0.6667 0.0527  3 Cu 2.39
10 Cl 0.3333 0.6667 0.4473  3 Cu 2.39
11 Cl 0.6667 0.3333 0.5527  3 Cu 2.39
12 Cl 0.6667 0.3333 0.9473  3 Cu 2.39

Properties
Space-group type: No. 194
ΔE_f (raw), eV/f.u.: -0.19
Crystal system: hexagonal

---

Material: Cu3Cl
Method: DFT, GGA-PBE
State: relaxed

a = 3.0325 Å, b = 3.0325 Å, c = 7.3292 Å
α = 90.00°, β = 90.00°, γ = 120.00°
Last column: nearest neighbours and their distance in Å.
Sites, in units of the cell vectors:
1 Cu 0.0000 0.0000 0.0000  6 Cu 2.51
2 Cu 0.6667 0.3333 0.2448  3 Cu 2.51, 3 Cl 2.56
3 Cu 0.6667 0.3333 0.7552  3 Cu 2.51, 3 Cl 2.56
4 Cl 0.0000 0.0000 0.5000  6 Cu 2.56

Properties
Space-group type: No. 187
ΔE_f (raw), eV/f.u.: 0.74
Fermi-level density of states, states/eV/cell: 1.0
Crystal system: hexagonal

---

Material: CuCl4
Method: DFT, GGA-PBE
State: relaxed

a = 4.7371 Å, b = 4.7371 Å, c = 4.7371 Å
α = 90.00°, β = 90.00°, γ = 90.00°
Last column: nearest neighbours and their distance in Å.
Sites, in units of the cell vectors:
1 Cu 0.0000 0.0000 0.0000  6 Cl 2.37
2 Cl 0.0000 0.0000 0.5000  2 Cu 2.37
3 Cl 0.0000 0.5000 0.0000  2 Cu 2.37
4 Cl 0.5000 0.0000 0.0000  2 Cu 2.37
5 Cl 0.5000 0.5000 0.5000  12 Cl 3.35

Properties
Space-group type: No. 221
ΔE_f (raw), eV/f.u.: 0.56
Fermi-level density of states, states/eV/cell: 4.4
Crystal system: cubic

---

Material: CuCl
Method: DFT, GGA-PBE
State: relaxed

a = 9.1007 Å, b = 9.1007 Å, c = 3.8646 Å
α = 90.00°, β = 90.00°, γ = 120.00°
Last column: nearest neighbours and their distance in Å.
Sites, in units of the cell vectors:
1 Cu 0.0358 0.6101 0.2500  4 Cl 2.36-2.40, 2 Cu 2.62
2 Cu 0.3899 0.4257 0.2500  4 Cl 2.36-2.40, 2 Cu 2.62
3 Cu 0.4257 0.0358 0.7500  4 Cl 2.36-2.40, 2 Cu 2.62
4 Cu 0.5743 0.9642 0.2500  4 Cl 2.36-2.40, 2 Cu 2.62
5 Cu 0.6101 0.5743 0.7500  4 Cl 2.36-2.40, 2 Cu 2.62
6 Cu 0.9642 0.3899 0.7500  4 Cl 2.36-2.40, 2 Cu 2.62
7 Cl 0.1160 0.3961 0.2500  4 Cu 2.36-2.40
8 Cl 0.2801 0.8840 0.2500  4 Cu 2.36-2.40
9 Cl 0.3961 0.2801 0.7500  4 Cu 2.36-2.40
10 Cl 0.6039 0.7199 0.2500  4 Cu 2.36-2.40
11 Cl 0.7199 0.1160 0.7500  4 Cu 2.36-2.40
12 Cl 0.8840 0.6039 0.7500  4 Cu 2.36-2.40

Properties
Space-group type: No. 176
ΔE_f (raw), eV/f.u.: -0.72
Crystal system: hexagonal

---

Material: Cu3Cl
Method: DFT, GGA-PBE
State: relaxed

a = 3.1137 Å, b = 3.1137 Å, c = 5.9450 Å
α = 90.00°, β = 90.00°, γ = 90.00°
Last column: nearest neighbours and their distance in Å.
Sites, in units of the cell vectors:
1 Cu 0.0000 0.0000 0.0000  8 Cu 2.53
2 Cu 0.5000 0.5000 0.2086  5 Cu 2.48-2.53
3 Cu 0.5000 0.5000 0.7914  5 Cu 2.48-2.53
4 Cl 0.0000 0.0000 0.5000  10 Cu 2.80-2.97, 4 Cl 3.11

Properties
Space-group type: No. 123
ΔE_f (raw), eV/f.u.: 0.45
Fermi-level density of states, states/eV/cell: 0.4
Crystal system: tetragonal

---

Material: CuCl
Method: DFT, GGA-PBE
State: relaxed

a = 7.2766 Å, b = 7.2766 Å, c = 7.2766 Å
α = 135.59°, β = 132.76°, γ = 66.84°
Last column: nearest neighbours and their distance in Å.
Sites, in units of the cell vectors:
1 Cu 0.0129 0.2629 0.7500  2 Cl 2.14
2 Cu 0.2393 0.4893 0.7500  2 Cl 2.14
3 Cu 0.2607 0.0107 0.2500  2 Cl 2.14
4 Cu 0.4871 0.2371 0.2500  2 Cl 2.14
5 Cl 0.2500 0.5337 0.2837  2 Cu 2.14
6 Cl 0.5313 0.2500 0.7813  2 Cu 2.14
7 Cl 0.7500 0.9663 0.2163  2 Cu 2.14
8 Cl 0.9687 0.7500 0.7187  2 Cu 2.14

Properties
Space-group type: No. 24
ΔE_f (raw), eV/f.u.: -0.83
Fermi-level density of states, states/eV/cell: 0.0
Crystal system: orthorhombic

---

Material: CuCl
Method: DFT, GGA-PBE
State: relaxed

a = 3.4795 Å, b = 3.4795 Å, c = 3.2636 Å
α = 90.00°, β = 90.00°, γ = 120.00°
Last column: nearest neighbours and their distance in Å.
Sites, in units of the cell vectors:
1 Cu 0.0000 0.0000 0.0000  6 Cl 2.59
2 Cl 0.3333 0.6667 0.5000  6 Cu 2.59

Properties
Space-group type: No. 187
ΔE_f (raw), eV/f.u.: -0.27
Fermi-level density of states, states/eV/cell: 0.5
Crystal system: hexagonal

---

Material: Cu2Cl
Method: DFT, GGA-PBE
State: relaxed

a = 5.9619 Å, b = 5.9619 Å, c = 5.6446 Å
α = 90.00°, β = 90.00°, γ = 150.70°
Last column: nearest neighbours and their distance in Å.
Sites, in units of the cell vectors:
1 Cu 0.1217 0.8783 0.7500  2 Cu 2.44, 2 Cl 2.49
2 Cu 0.2123 0.7877 0.2500  2 Cl 2.40, 2 Cu 2.44
3 Cu 0.7877 0.2123 0.7500  2 Cl 2.40, 2 Cu 2.44
4 Cu 0.8783 0.1217 0.2500  2 Cu 2.44, 2 Cl 2.49
5 Cl 0.4501 0.5499 0.7500  4 Cu 2.40-2.49
6 Cl 0.5499 0.4501 0.2500  4 Cu 2.40-2.49

Properties
Space-group type: No. 63
ΔE_f (raw), eV/f.u.: 0.53
Fermi-level density of states, states/eV/cell: 1.7
Crystal system: orthorhombic

---

Material: Cu2Cl
Method: DFT, GGA-PBE
State: relaxed

a = 5.4811 Å, b = 6.1589 Å, c = 2.9565 Å
α = 90.00°, β = 90.00°, γ = 90.00°
Last column: nearest neighbours and their distance in Å.
Sites, in units of the cell vectors:
1 Cu 0.0886 0.1774 0.0000  1 Cu 2.39, 3 Cl 2.51-2.52
2 Cu 0.4114 0.6774 0.5000  1 Cu 2.39, 3 Cl 2.51-2.52
3 Cu 0.5886 0.3226 0.5000  1 Cu 2.39, 3 Cl 2.51-2.52
4 Cu 0.9114 0.8226 0.0000  1 Cu 2.39, 3 Cl 2.51-2.52
5 Cl 0.0000 0.5000 0.5000  6 Cu 2.51-2.52
6 Cl 0.5000 0.0000 0.0000  6 Cu 2.51-2.52

Properties
Space-group type: No. 58
ΔE_f (raw), eV/f.u.: 1.14
Fermi-level density of states, states/eV/cell: 1.8
Crystal system: orthorhombic

---

Material: CuCl
Method: DFT, GGA-PBE
State: relaxed

a = 4.5854 Å, b = 4.5854 Å, c = 4.5854 Å
α = 60.00°, β = 60.00°, γ = 60.00°
Last column: nearest neighbours and their distance in Å.
Sites, in units of the cell vectors:
1 Cu 0.1250 0.1250 0.1250  4 Cl 2.81, 4 Cu 2.81
2 Cu 0.8750 0.8750 0.8750  4 Cl 2.81, 4 Cu 2.81
3 Cl 0.3750 0.3750 0.3750  4 Cl 2.81, 4 Cu 2.81
4 Cl 0.6250 0.6250 0.6250  4 Cl 2.81, 4 Cu 2.81

Properties
Space-group type: No. 227
ΔE_f (raw), eV/f.u.: 0.83
Fermi-level density of states, states/eV/cell: 3.8
Crystal system: cubic

---

Material: Cu7Cl6
Method: DFT, GGA-PBE
State: relaxed

a = 10.1989 Å, b = 10.1989 Å, c = 10.1989 Å
α = 32.84°, β = 32.84°, γ = 32.84°
Last column: nearest neighbours and their distance in Å.
Sites, in units of the cell vectors:
1 Cu 0.0000 0.0000 0.0000  6 Cu 2.57
2 Cu 0.0742 0.0742 0.6333  2 Cl 2.21-2.27
3 Cu 0.0742 0.6333 0.0742  2 Cl 2.21-2.27
4 Cu 0.3667 0.9258 0.9258  2 Cl 2.21-2.27
5 Cu 0.6333 0.0742 0.0742  2 Cl 2.21-2.27
6 Cu 0.9258 0.3667 0.9258  2 Cl 2.21-2.27
7 Cu 0.9258 0.9258 0.3667  2 Cl 2.21-2.27
8 Cl 0.1328 0.1328 0.1328  3 Cu 2.27
9 Cl 0.3017 0.3017 0.3017  3 Cu 2.21
10 Cl 0.4187 0.4187 0.4187  6 Cu 2.91
11 Cl 0.5813 0.5813 0.5813  6 Cu 2.91
12 Cl 0.6983 0.6983 0.6983  3 Cu 2.21
13 Cl 0.8672 0.8672 0.8672  3 Cu 2.27

Properties
Space-group type: No. 166
ΔE_f (raw), eV/f.u.: -2.39
Fermi-level density of states, states/eV/cell: 3.4
Crystal system: trigonal

---

What is the ΔE_f (raw) in the tenth record?
1.14 eV/f.u.

---

Which formula does entry 4 have?
CuCl4

---

Among the records above, which one has the lowest ΔE_f (raw)?
Cu7Cl6

---

Among the records above, which one has the highest ΔE_f (raw)?
number 1